A relaxed structure of LiAgIr2. Source: Alexandria, functional PBE.

* formation energy from the elements: 75.2 meV per atom
* D(E_F): 2.84 states/eV/f.u.
* space-group type: P2/m

Unit cell a=4.7558 b=2.6837 c=4.7132 alpha=88.16 beta=90.00 gamma=90.00
Last column: nearest neighbours and their distance in Å.
Fractional positions:
Ag 0.5000 0.7500 0.7500  4 Li 2.67-2.75, 2 Ag 2.68, 4 Ir 2.78
Li 0.5000 0.2500 0.2500  4 Ag 2.67-2.75, 2 Li 2.68, 4 Ir 2.71
Ir 0.0000 0.4883 0.4869  6 Ir 2.60-2.89, 2 Li 2.71, 2 Ag 2.78
Ir 0.0000 0.0117 0.0131  6 Ir 2.60-2.89, 2 Li 2.71, 2 Ag 2.78

=====

A relaxed structure of LiAgIr. Source: Alexandria, functional PBE.

* formation energy from the elements: 14.3 meV per atom
* relative energy among the computed polymorphs: 0 kJ/mol of formula units
* D(E_F): 3.06 states/eV/f.u.
* space-group type: P3m1

Unit cell a=2.7343 b=2.7343 c=7.0037 alpha=90.00 beta=90.00 gamma=120.00
Last column: nearest neighbours and their distance in Å.
Fractional positions:
Ag 0.0000 0.0000 0.9911  6 Ag 2.73, 3 Li 2.83, 3 Ir 2.98
Ir 0.6667 0.3333 0.3524  3 Li 2.65, 6 Ir 2.73
Li 0.3333 0.6667 0.6565  3 Ir 2.65, 6 Li 2.73, 3 Ag 2.83